A plane-wave DFT calculation with PBE was carried out for a geometry-optimized BeC3O structure.

Polymorph energy (0 for the lowest one) = 0 meV per atom
Formation energy (no corrections) = 2831 meV/atom
Total magnetization = 0.00 Bohr magnetons per cell

Unit cell a=3.515 b=3.515 c=3.515 alpha=90.00 beta=90.00 gamma=90.00
Space group Pm-3m (No. 221)
Symmetry-distinct sites (fractional):
Be 0.000 0.000 0.000 (multiplicity 1)
C 0.000 0.000 0.500 (multiplicity 3)
O 0.500 0.500 0.500 (multiplicity 1)